The following is a GGA-PBE calculation of an optimized crystal structure of BaIrRh2, from Alexandria.

For the formation energy, the calculation gives 1.15 eV/f.u. As for the distance to the lowest polymorph of the same formula: 308.3 meV per atom.

The structure belongs to space group I-42d (No. 122); the cell edges are 5.1514, 5.1514 and 16.3383 Å and the angles 90.00°, 90.00° and 90.00°. The inequivalent atoms are Ba at (0.0000, 0.0000, 0.0000), Ir at (0.0000, 0.0000, 0.5000) and Rh at (0.0563, 0.2500, 0.6250).

The following is a GGA-PBE calculation of an optimized crystal structure of Y2Ag3Au2, from Alexandria.

For the formation energy, the calculation gives -3.14 eV/f.u.

The structure belongs to space group Cmmm (No. 65); the cell edges are 4.0606, 20.8725 and 3.6144 Å and the angles 90.00°, 90.00° and 90.00°. The inequivalent atoms are Y at (0.0000, 0.1492, 0.0000), Ag at (0.0000, 0.0000, 0.0000), Ag at (0.0000, 0.4342, 0.5000) and Au at (0.0000, 0.2952, 0.5000).

The following is a GGA-PBE calculation of an optimized crystal structure of MnZnCr4, from Alexandria.

For the formation energy, the calculation gives 1.49 eV/f.u.

The structure belongs to space group F-43m (No. 216); the cell edges are 6.6649, 6.6649 and 6.6649 Å and the angles 90.00°, 90.00° and 90.00°. The inequivalent atoms are Mn at (0.0000, 0.0000, 0.0000), Zn at (0.2500, 0.2500, 0.7500) and Cr at (0.1239, 0.1239, 0.3761).

The following is a GGA-PBE calculation of an optimized crystal structure of Mg2TaW, from Alexandria.

For the formation energy, the calculation gives 1.89 eV/f.u. As for the distance to the lowest polymorph of the same formula: 271.5 meV per atom.

The structure belongs to space group I-4m2 (No. 119); the cell edges are 4.2766, 4.2766 and 7.8436 Å and the angles 90.00°, 90.00° and 90.00°. The inequivalent atoms are Mg at (0.0000, 0.0000, 0.0000), Mg at (0.0000, 0.5000, 0.2500), Ta at (0.0000, 0.5000, 0.7500) and W at (0.0000, 0.0000, 0.5000).

The following is a GGA-PBE calculation of an optimized crystal structure of CeZrTe2, from Alexandria.

As for the distance to the lowest polymorph of the same formula: 170.6 meV per atom. For the formation energy without anion corrections, the calculation gives -0.791 eV per atom.

The structure belongs to space group I-4m2 (No. 119); the cell edges are 3.9624, 3.9624 and 15.0313 Å and the angles 90.00°, 90.00° and 90.00°. The inequivalent atoms are Ce at (0.0000, 0.0000, 0.0000), Zr at (0.0000, 0.5000, 0.7500) and Te at (0.0000, 0.0000, 0.3848).

The following is a GGA-PBE calculation of an optimized crystal structure of Tb3YTm5, from Alexandria.

For the formation energy, the calculation gives 4.85 eV/f.u. As for the distance to the lowest polymorph of the same formula: 266.9 meV per atom.

The structure belongs to space group C2/m (No. 12); the cell edges are 15.1282, 11.2070 and 9.9491 Å and the angles 90.00°, 130.75° and 90.00°. The inequivalent atoms are Tb at (0.0000, 0.0000, 0.0000), Tb at (0.0000, 0.5000, 0.5000), Tb at (0.0103, 0.0000, 0.3094), Tb at (0.0224, 0.5000, 0.8660), Y at (0.2503, 0.0000, 0.1016), Tm at (0.0000, 0.2383, 0.5000), Tm at (0.1543, 0.2494, 0.2517), Tm at (0.2176, 0.0000, 0.7262) and Tm at (0.2219, 0.5000, 0.5348).

The following is a GGA-PBE calculation of an optimized crystal structure of CaLuMgSn, from Alexandria.

For the formation energy, the calculation gives -1.32 eV/f.u.

The structure belongs to space group F-43m (No. 216); the cell edges are 7.5357, 7.5357 and 7.5357 Å and the angles 90.00°, 90.00° and 90.00°. The inequivalent atoms are Ca at (0.0000, 0.0000, 0.0000), Lu at (0.0000, 0.0000, 0.5000), Mg at (0.2500, 0.2500, 0.2500) and Sn at (0.2500, 0.2500, 0.7500).

The following is a GGA-PBE calculation of an optimized crystal structure of LiNbCd, from Alexandria.

For the formation energy, the calculation gives 0.43 eV/f.u. As for the distance to the lowest polymorph of the same formula: 109.0 meV per atom.

The structure belongs to space group Cmcm (No. 63); the cell edges are 4.9856, 13.8762 and 3.3242 Å and the angles 90.00°, 90.00° and 90.00°. The inequivalent atoms are Li at (0.0000, 0.2475, 0.2500), Nb at (0.0000, 0.0704, 0.7500) and Cd at (0.0000, 0.4084, 0.7500).

The following is a GGA-PBE calculation of an optimized crystal structure of MnTeOsN2, from Alexandria.

As for the distance to the lowest polymorph of the same formula: 0.0 meV per atom. For the formation energy without anion corrections, the calculation gives 0.677 eV per atom.

The structure belongs to space group P4/mmm (No. 123); the cell edges are 3.8420, 3.8420 and 5.7785 Å and the angles 90.00°, 90.00° and 90.00°. The inequivalent atoms are Mn at (0.0000, 0.0000, 0.0000), Te at (0.5000, 0.5000, 0.0000), Os at (0.5000, 0.5000, 0.5000) and N at (0.0000, 0.5000, 0.5000).

The following is a GGA-PBE calculation of an optimized crystal structure of LaSBr3, from Alexandria.

As for the distance to the lowest polymorph of the same formula: 0.0 meV per atom. For the formation energy without anion corrections, the calculation gives -0.920 eV per atom.

The structure belongs to space group Pm-3m (No. 221); the cell edges are 5.8729, 5.8729 and 5.8729 Å and the angles 90.00°, 90.00° and 90.00°. The inequivalent atoms are La at (0.0000, 0.0000, 0.0000), S at (0.5000, 0.5000, 0.5000) and Br at (0.0000, 0.0000, 0.5000).

The following is a GGA-PBE calculation of an optimized crystal structure of YB3Ir5, from Alexandria.

For the formation energy, the calculation gives -2.22 eV/f.u.

The structure belongs to space group Cmcm (No. 63); the cell edges are 3.3637, 9.7818 and 14.9220 Å and the angles 90.00°, 90.00° and 90.00°. The inequivalent atoms are Y at (0.0000, 0.2022, 0.2500), B at (0.0000, 0.0533, 0.7500), B at (0.0000, 0.3627, 0.0396), Ir at (0.0000, 0.0000, 0.0000), Ir at (0.0000, 0.2543, 0.5844) and Ir at (0.0000, 0.4768, 0.1598).

The following is a GGA-PBE calculation of an optimized crystal structure of BaYCd2, from Alexandria.

For the formation energy, the calculation gives -0.32 eV/f.u. As for the distance to the lowest polymorph of the same formula: 223.6 meV per atom.

The structure belongs to space group R-3m (No. 166, hexagonal axes); the cell edges are 3.9591, 3.9591 and 30.0705 Å and the angles 90.00°, 90.00° and 120.00°. The inequivalent atoms are Ba at (0.0000, 0.0000, 0.0000), Y at (0.0000, 0.0000, 0.5000) and Cd at (0.0000, 0.0000, 0.2407).

The following is a GGA-PBE calculation of an optimized crystal structure of NdNpHg2O6, from Alexandria.

For the formation energy without anion corrections, the calculation gives -1.949 eV per atom.

The structure belongs to space group R-3 (No. 148, hexagonal axes); the cell edges are 5.9341, 5.9341 and 15.5831 Å and the angles 90.00°, 90.00° and 120.00°. The inequivalent atoms are Nd at (0.0000, 0.0000, 0.0000), Np at (0.0000, 0.0000, 0.5000), Hg at (0.0000, 0.0000, 0.2532) and O at (0.0248, 0.6299, 0.2464).

The following is a GGA-PBE calculation of an optimized crystal structure of LaCePrSm, from Alexandria.

For the formation energy, the calculation gives 0.80 eV/f.u.

The structure belongs to space group F-43m (No. 216); the cell edges are 8.2430, 8.2430 and 8.2430 Å and the angles 90.00°, 90.00° and 90.00°. The inequivalent atoms are La at (0.0000, 0.0000, 0.0000), Ce at (0.2500, 0.2500, 0.7500), Pr at (0.0000, 0.0000, 0.5000) and Sm at (0.2500, 0.2500, 0.2500).

The following is a GGA-PBE calculation of an optimized crystal structure of Tl3NiI, from Alexandria.

As for the distance to the lowest polymorph of the same formula: 0.0 meV per atom. For the formation energy without anion corrections, the calculation gives -0.176 eV per atom.

The structure belongs to space group Pm-3m (No. 221); the cell edges are 5.2694, 5.2694 and 5.2694 Å and the angles 90.00°, 90.00° and 90.00°. The inequivalent atoms are Tl at (0.0000, 0.0000, 0.5000), Ni at (0.0000, 0.0000, 0.0000) and I at (0.5000, 0.5000, 0.5000).

The following is a GGA-PBE calculation of an optimized crystal structure of RbTl3Rh, from Alexandria.

For the formation energy, the calculation gives 0.20 eV/f.u. As for the distance to the lowest polymorph of the same formula: 102.2 meV per atom.

The structure belongs to space group P2_1/c (No. 14); the cell edges are 10.0252, 5.7277 and 12.6442 Å and the angles 90.00°, 120.40° and 90.00°. The inequivalent atoms are Rb at (0.1585, 0.0496, 0.1991), Tl at (0.1323, 0.0280, 0.4665), Tl at (0.3196, 0.5842, 0.4563), Tl at (0.4294, 0.5694, 0.2477) and Rh at (0.4400, 0.1286, 0.5529).

The following is a GGA-PBE calculation of an optimized crystal structure of Tm2ThTc2, from Alexandria.

For the formation energy, the calculation gives 0.11 eV/f.u.

The structure belongs to space group P2_1/m (No. 11); the cell edges are 5.5784, 4.1651 and 11.0255 Å and the angles 90.00°, 95.49° and 90.00°. The inequivalent atoms are Tm at (0.0853, 0.2500, 0.3823), Tm at (0.2450, 0.2500, 0.0325), Th at (0.4196, 0.2500, 0.7364), Tc at (0.2368, 0.7500, 0.8480) and Tc at (0.4193, 0.7500, 0.5412).

The following is a GGA-PBE calculation of an optimized crystal structure of RuI4, from Alexandria.

As for the distance to the lowest polymorph of the same formula: 0.0 meV per atom. For the formation energy without anion corrections, the calculation gives -0.001 eV per atom.

The structure belongs to space group C2/m (No. 12); the cell edges are 13.8020, 7.0060 and 9.5631 Å and the angles 90.00°, 125.66° and 90.00°. The inequivalent atoms are Ru at (0.0000, 0.2087, 0.0000), I at (0.0030, 0.2374, 0.2851), I at (0.1625, 0.5000, 0.1355) and I at (0.1957, 0.0000, 0.1611).

The following is a GGA-PBE calculation of an optimized crystal structure of Ti7Al2Ge2, from Alexandria.

For the formation energy, the calculation gives -0.34 eV/f.u.

The structure belongs to space group Cmmm (No. 65); the cell edges are 7.1623, 9.3118 and 6.1296 Å and the angles 90.00°, 90.00° and 90.00°. The inequivalent atoms are Ti at (0.0000, 0.0000, 0.0000), Ti at (0.0000, 0.5000, 0.2699), Ti at (0.2500, 0.2500, 0.2822), Al at (0.1751, 0.0000, 0.5000) and Ge at (0.0000, 0.2841, 0.0000).

The following is a GGA-PBE calculation of an optimized crystal structure of Pr16Nd6Er7, from Alexandria.

For the formation energy, the calculation gives 5.66 eV/f.u.

The structure belongs to space group Fm-3m (No. 225); the cell edges are 16.0740, 16.0740 and 16.0740 Å and the angles 90.00°, 90.00° and 90.00°. The inequivalent atoms are Pr at (0.1216, 0.1216, 0.1216), Pr at (0.1536, 0.1536, 0.3464), Nd at (0.0000, 0.0000, 0.2928), Er at (0.0000, 0.0000, 0.0000) and Er at (0.0000, 0.2500, 0.2500).

The following is a GGA-PBE calculation of an optimized crystal structure of CaLaPm3, from Alexandria.

For the formation energy, the calculation gives 1.74 eV/f.u. As for the distance to the lowest polymorph of the same formula: 179.7 meV per atom.

The structure belongs to space group R-3 (No. 148, hexagonal axes); the cell edges are 6.1744, 6.1744 and 36.0857 Å and the angles 90.00°, 90.00° and 120.00°. The inequivalent atoms are Ca at (0.0000, 0.0000, 0.1660), La at (0.0000, 0.0000, 0.3337) and Pm at (0.0015, 0.6660, 0.2527).

The following is a GGA-PBE calculation of an optimized crystal structure of Cd2InGa7, from Alexandria.

For the formation energy, the calculation gives 0.90 eV/f.u.

The structure belongs to space group Cmmm (No. 65); the cell edges are 6.7701, 17.7534 and 3.7710 Å and the angles 90.00°, 90.00° and 90.00°. The inequivalent atoms are Cd at (0.0000, 0.2454, 0.0000), In at (0.0000, 0.5000, 0.5000), Ga at (0.0000, 0.0000, 0.0000), Ga at (0.0000, 0.1173, 0.5000) and Ga at (0.2016, 0.3867, 0.0000).

The following is a GGA-PBE calculation of an optimized crystal structure of CaFe2Ag, from Alexandria.

For the formation energy, the calculation gives 1.56 eV/f.u.

The structure belongs to space group Imm2 (No. 44); the cell edges are 3.1163, 4.8590 and 9.4124 Å and the angles 90.00°, 90.00° and 90.00°. The inequivalent atoms are Ca at (0.0000, 0.0000, 0.0000), Fe at (0.0000, 0.0000, 0.5342), Fe at (0.0000, 0.5000, 0.2175) and Ag at (0.0000, 0.5000, 0.7849).

Calculated values (states/eV per atom) of Fermi-level density of states for the records, taken in order: 0.934, 0.353, 0.919, 0.785, 2.384, 1.332, 0.826, 0.054, 0.718, 2.207, 0.591, 1.098, 0.456, 2.732, 0.211, 0.446, 0.858, 0.640, 1.031, 1.917, 1.488, 0.426, 0.601.